Record 1
GaSiS2, relaxed, DFT GGA-PBEsol; uncorrected formation energy = -100 meV/atom; N(E_F) = 0.2107 states/eV/atom; total magnetization = 0.0 μB/cell; space group = No. 166
1.0
-1.065 -0.812 -3.154
-2.697 -2.073 -0.417
-5.845 5.008 -1.177
S Ga Si
2 1 1
Direct
0.106 0.106 0.683 S
0.894 0.894 0.317 S
0.500 0.500 0.500 Ga
0.000 0.000 0.000 Si

=====

Record 2
GaSiS3, relaxed, DFT GGA-PBEsol; uncorrected formation energy = -28 meV/atom; N(E_F) = 0.2685 states/eV/atom; total magnetization = 0.0 μB/cell; space group = No. 221
1.0
4.497 0.000 0.000
0.000 4.497 0.000
0.000 0.000 4.497
S Si Ga
3 1 1
Direct
0.500 0.000 0.000 S
0.000 0.000 0.500 S
0.000 0.500 0.000 S
0.000 0.000 0.000 Si
0.500 0.500 0.500 Ga

=====

Record 3
Ga2SnS, relaxed, DFT GGA-PBEsol; uncorrected formation energy = 102 meV/atom; N(E_F) = 0.6921 states/eV/atom; total magnetization = 0.0 μB/cell; space group = No. 225
1.0
-4.133 1.023 2.264
-1.729 -3.015 3.343
0.049 1.272 4.651
Ga S Sn
2 1 1
Direct
0.250 0.250 0.250 Ga
0.750 0.750 0.750 Ga
0.000 0.000 0.000 S
0.500 0.500 0.500 Sn